1.
# PBE-GGA Dy6AlAg3, relaxed
data_Dy6AlAg3
_space_group_name_H-M_alt 'P 1 21/m 1'
_space_group_IT_number 11
_space_group_name_Hall '-P 2yb'
_cell_length_a 9.144
_cell_length_b 5.043
_cell_length_c 11.500
_cell_angle_alpha 90.00
_cell_angle_beta 103.79
_cell_angle_gamma 90.00
loop_
_atom_site_label
_atom_site_fract_x
_atom_site_fract_y
_atom_site_fract_z
Dy1 0.003 0.250 0.113
Dy2 0.150 0.250 0.696
Dy3 0.258 0.750 0.516
Dy4 0.353 0.250 0.341
Dy5 0.359 0.750 0.111
Dy6 0.384 0.750 0.833
Al1 0.453 0.250 0.627
Ag1 0.036 0.250 0.389
Ag2 0.146 0.750 0.254
Ag3 0.275 0.250 0.968
# * calculated density: 8.5 g/cm³
# * formation energy: -218.3 meV per atom
# * density of states at the Fermi level: 17.54 states/eV/cell


2.
# PBE-GGA Dy2Al2Ag, relaxed
data_Dy2Al2Ag
_space_group_name_H-M_alt 'C 1 2/m 1'
_space_group_IT_number 12
_space_group_name_Hall '-C 2y'
_cell_length_a 10.811
_cell_length_b 4.531
_cell_length_c 10.633
_cell_angle_alpha 90.00
_cell_angle_beta 117.38
_cell_angle_gamma 90.00
loop_
_atom_site_label
_atom_site_fract_x
_atom_site_fract_y
_atom_site_fract_z
Dy1 0.009 0.000 0.328
Dy2 0.181 0.000 0.102
Al1 0.022 0.500 0.885
Al2 0.138 0.500 0.564
Ag1 0.225 0.500 0.349
# * E above lowest polymorph: 0 meV/atom
# * calculated density: 7.0 g/cm³
# * formation energy: -396.0 meV per atom
# * density of states at the Fermi level: 13.59 states/eV/cell


3.
# PBE-GGA Dy4AlAg2, relaxed
data_Dy4AlAg2
_space_group_name_H-M_alt 'R -3 m'
_space_group_IT_number 166
_space_group_name_Hall '-R 3 2"'
_cell_length_a 5.0938
_cell_length_b 5.0938
_cell_length_c 24.4856
_cell_angle_alpha 90.00
_cell_angle_beta 90.00
_cell_angle_gamma 120.00
loop_
_atom_site_label
_atom_site_fract_x
_atom_site_fract_y
_atom_site_fract_z
Dy1 0.0000 0.0000 0.1190
Dy2 0.0000 0.0000 0.3722
Al1 0.0000 0.0000 0.5000
Ag1 0.0000 0.0000 0.2447
# * E above lowest polymorph: 0 meV/atom
# * calculated density: 8.1 g/cm³
# * formation energy: -185.0 meV per atom
# * density of states at the Fermi level: 20.61 states/eV/cell


4.
# PBE-GGA DyAl6Ag12, relaxed
data_DyAl6Ag12
_space_group_name_H-M_alt 'R -3 m'
_space_group_IT_number 166
_space_group_name_Hall '-R 3 2"'
_cell_length_a 11.9033
_cell_length_b 11.9033
_cell_length_c 8.8681
_cell_angle_alpha 90.00
_cell_angle_beta 90.00
_cell_angle_gamma 120.00
loop_
_atom_site_label
_atom_site_fract_x
_atom_site_fract_y
_atom_site_fract_z
Dy1 0.0000 0.0000 0.0000
Al1 0.0566 0.5283 0.2444
Ag1 0.0000 0.3830 0.5000
Ag2 0.0824 0.1648 0.2963
# * calculated density: 7.4 g/cm³
# * formation energy: -3.0 meV per atom
# * density of states at the Fermi level: 9.98 states/eV/cell


5.
# PBE-GGA Dy3Al8Ag3, relaxed
data_Dy3Al8Ag3
_space_group_name_H-M_alt 'I m m m'
_space_group_IT_number 71
_space_group_name_Hall '-I 2 2'
_cell_length_a 4.398
_cell_length_b 9.729
_cell_length_c 12.810
_cell_angle_alpha 90.00
_cell_angle_beta 90.00
_cell_angle_gamma 90.00
loop_
_atom_site_label
_atom_site_fract_x
_atom_site_fract_y
_atom_site_fract_z
Dy1 0.000 0.000 0.000
Dy2 0.000 0.000 0.298
Al1 0.000 0.284 0.136
Al2 0.000 0.367 0.340
Ag1 0.000 0.199 0.500
Ag2 0.000 0.500 0.000
# * calculated density: 6.2 g/cm³
# * formation energy: -380.9 meV per atom
# * density of states at the Fermi level: 7.83 states/eV/cell


6.
# PBE-GGA DyAlAg2, relaxed
data_DyAlAg2
_space_group_name_H-M_alt 'F m -3 m'
_space_group_IT_number 225
_space_group_name_Hall '-F 4 2 3'
_cell_length_a 6.837
_cell_length_b 6.837
_cell_length_c 6.837
_cell_angle_alpha 90.00
_cell_angle_beta 90.00
_cell_angle_gamma 90.00
loop_
_atom_site_label
_atom_site_fract_x
_atom_site_fract_y
_atom_site_fract_z
Dy1 0.000 0.000 0.000
Al1 0.000 0.000 0.500
Ag1 0.250 0.250 0.250
# * calculated density: 8.4 g/cm³
# * formation energy: -326.5 meV per atom
# * density of states at the Fermi level: 10.09 states/eV/cell


7.
# PBE-GGA DyAl4Ag8, relaxed
data_DyAl4Ag8
_space_group_name_H-M_alt 'I 4/m m m'
_space_group_IT_number 139
_space_group_name_Hall '-I 4 2'
_cell_length_a 9.324
_cell_length_b 9.324
_cell_length_c 5.384
_cell_angle_alpha 90.00
_cell_angle_beta 90.00
_cell_angle_gamma 90.00
loop_
_atom_site_label
_atom_site_fract_x
_atom_site_fract_y
_atom_site_fract_z
Dy1 0.000 0.000 0.000
Al1 0.250 0.250 0.250
Ag1 0.000 0.216 0.500
Ag2 0.000 0.342 0.000
# * calculated density: 8.0 g/cm³
# * formation energy: -190.7 meV per atom
# * density of states at the Fermi level: 9.64 states/eV/cell


8.
# PBE-GGA Dy4AlAg2, relaxed
data_Dy4AlAg2
_space_group_name_H-M_alt 'I -4 2 d'
_space_group_IT_number 122
_space_group_name_Hall 'I -4 2bw'
_cell_length_a 9.118
_cell_length_b 9.118
_cell_length_c 8.908
_cell_angle_alpha 90.00
_cell_angle_beta 90.00
_cell_angle_gamma 90.00
loop_
_atom_site_label
_atom_site_fract_x
_atom_site_fract_y
_atom_site_fract_z
Dy1 0.069 0.179 0.302
Al1 0.000 0.000 0.000
Ag1 0.124 0.250 0.625
# * E above lowest polymorph: 33 meV/atom
# * calculated density: 8.0 g/cm³
# * formation energy: -152.1 meV per atom
# * density of states at the Fermi level: 30.76 states/eV/cell


9.
# PBE-GGA Dy3Al3Ag, relaxed
data_Dy3Al3Ag
_space_group_name_H-M_alt 'I m m 2'
_space_group_IT_number 44
_space_group_name_Hall 'I 2 -2'
_cell_length_a 3.605
_cell_length_b 4.562
_cell_length_c 19.730
_cell_angle_alpha 90.00
_cell_angle_beta 90.00
_cell_angle_gamma 90.00
loop_
_atom_site_label
_atom_site_fract_x
_atom_site_fract_y
_atom_site_fract_z
Dy1 0.000 0.000 0.000
Dy2 0.000 0.000 0.392
Dy3 0.000 0.500 0.195
Al1 0.000 0.000 0.558
Al2 0.000 0.000 0.837
Al3 0.000 0.500 0.630
Ag1 0.000 0.500 0.764
# * calculated density: 6.9 g/cm³
# * formation energy: -385.7 meV per atom
# * density of states at the Fermi level: 10.47 states/eV/cell


10.
# PBE-GGA DyAlAg4, relaxed
data_DyAlAg4
_space_group_name_H-M_alt 'F -4 3 m'
_space_group_IT_number 216
_space_group_name_Hall 'F -4 2 3'
_cell_length_a 7.826
_cell_length_b 7.826
_cell_length_c 7.826
_cell_angle_alpha 90.00
_cell_angle_beta 90.00
_cell_angle_gamma 90.00
loop_
_atom_site_label
_atom_site_fract_x
_atom_site_fract_y
_atom_site_fract_z
Dy1 0.000 0.000 0.000
Al1 0.250 0.250 0.750
Ag1 0.125 0.125 0.375
# * E above lowest polymorph: 0 meV/atom
# * calculated density: 8.6 g/cm³
# * formation energy: -141.6 meV per atom
# * density of states at the Fermi level: 8.85 states/eV/cell


11.
# PBE-GGA Dy3Al4Ag2, relaxed
data_Dy3Al4Ag2
_space_group_name_H-M_alt 'C 1 2/m 1'
_space_group_IT_number 12
_space_group_name_Hall '-C 2y'
_cell_length_a 10.729
_cell_length_b 4.613
_cell_length_c 8.670
_cell_angle_alpha 90.00
_cell_angle_beta 114.95
_cell_angle_gamma 90.00
loop_
_atom_site_label
_atom_site_fract_x
_atom_site_fract_y
_atom_site_fract_z
Dy1 0.000 0.000 0.000
Dy2 0.173 0.500 0.658
Al1 0.030 0.000 0.366
Al2 0.238 0.500 0.074
Ag1 0.100 0.500 0.268
# * calculated density: 6.9 g/cm³
# * formation energy: -442.9 meV per atom
# * density of states at the Fermi level: 8.74 states/eV/cell


12.
# PBE-GGA DyAl2Ag, relaxed
data_DyAl2Ag
_space_group_name_H-M_alt 'R -3 m'
_space_group_IT_number 166
_space_group_name_Hall '-R 3 2"'
_cell_length_a 4.3777
_cell_length_b 4.3777
_cell_length_c 15.3089
_cell_angle_alpha 90.00
_cell_angle_beta 90.00
_cell_angle_gamma 120.00
loop_
_atom_site_label
_atom_site_fract_x
_atom_site_fract_y
_atom_site_fract_z
Dy1 0.0000 0.0000 0.0000
Al1 0.0000 0.0000 0.2142
Ag1 0.0000 0.0000 0.5000
# * calculated density: 6.4 g/cm³
# * formation energy: -286.7 meV per atom
# * density of states at the Fermi level: 7.36 states/eV/cell


13.
# PBE-GGA DyAl2Ag5, relaxed
data_DyAl2Ag5
_space_group_name_H-M_alt 'I m m m'
_space_group_IT_number 71
_space_group_name_Hall '-I 2 2'
_cell_length_a 3.718
_cell_length_b 7.851
_cell_length_c 10.664
_cell_angle_alpha 90.00
_cell_angle_beta 90.00
_cell_angle_gamma 90.00
loop_
_atom_site_label
_atom_site_fract_x
_atom_site_fract_y
_atom_site_fract_z
Dy1 0.000 0.000 0.000
Al1 0.000 0.500 0.253
Ag1 0.000 0.205 0.361
Ag2 0.000 0.500 0.000
# * calculated density: 8.1 g/cm³
# * formation energy: -149.3 meV per atom
# * density of states at the Fermi level: 6.89 states/eV/cell


14.
# PBE-GGA Dy2AlAg3, relaxed
data_Dy2AlAg3
_space_group_name_H-M_alt 'I m m 2'
_space_group_IT_number 44
_space_group_name_Hall 'I 2 -2'
_cell_length_a 3.736
_cell_length_b 4.294
_cell_length_c 17.352
_cell_angle_alpha 90.00
_cell_angle_beta 90.00
_cell_angle_gamma 90.00
loop_
_atom_site_label
_atom_site_fract_x
_atom_site_fract_y
_atom_site_fract_z
Dy1 0.000 0.000 0.000
Dy2 0.000 0.500 0.244
Al1 0.000 0.000 0.584
Ag1 0.000 0.000 0.433
Ag2 0.000 0.500 0.661
Ag3 0.000 0.500 0.819
# * E above lowest polymorph: 88 meV/atom
# * calculated density: 8.1 g/cm³
# * formation energy: -226.1 meV per atom
# * density of states at the Fermi level: 7.54 states/eV/cell


15.
# PBE-GGA Dy4AlAg3, relaxed
data_Dy4AlAg3
_space_group_name_H-M_alt 'P 4/m m m'
_space_group_IT_number 123
_space_group_name_Hall '-P 4 2'
_cell_length_a 3.581
_cell_length_b 3.581
_cell_length_c 14.901
_cell_angle_alpha 90.00
_cell_angle_beta 90.00
_cell_angle_gamma 90.00
loop_
_atom_site_label
_atom_site_fract_x
_atom_site_fract_y
_atom_site_fract_z
Dy1 0.000 0.000 0.125
Dy2 0.000 0.000 0.375
Al1 0.500 0.500 0.000
Ag1 0.500 0.500 0.249
Ag2 0.500 0.500 0.500
# * E above lowest polymorph: 0 meV/atom
# * calculated density: 8.7 g/cm³
# * formation energy: -340.4 meV per atom
# * density of states at the Fermi level: 4.49 states/eV/cell


16.
# PBE-GGA Dy2Al2Ag, relaxed
data_Dy2Al2Ag
_space_group_name_H-M_alt 'P 4/m b m'
_space_group_IT_number 127
_space_group_name_Hall '-P 4 2ab'
_cell_length_a 6.997
_cell_length_b 6.997
_cell_length_c 4.658
_cell_angle_alpha 90.00
_cell_angle_beta 90.00
_cell_angle_gamma 90.00
loop_
_atom_site_label
_atom_site_fract_x
_atom_site_fract_y
_atom_site_fract_z
Dy1 0.168 0.332 0.000
Al1 0.135 0.635 0.500
Ag1 0.000 0.000 0.500
# * E above lowest polymorph: 12 meV/atom
# * calculated density: 7.1 g/cm³
# * formation energy: -384.0 meV per atom
# * density of states at the Fermi level: 8.97 states/eV/cell


17.
# PBE-GGA Dy4Al12Ag, relaxed
data_Dy4Al12Ag
_space_group_name_H-M_alt 'I m -3 m'
_space_group_IT_number 229
_space_group_name_Hall '-I 4 2 3'
_cell_length_a 8.700
_cell_length_b 8.700
_cell_length_c 8.700
_cell_angle_alpha 90.00
_cell_angle_beta 90.00
_cell_angle_gamma 90.00
loop_
_atom_site_label
_atom_site_fract_x
_atom_site_fract_y
_atom_site_fract_z
Dy1 0.250 0.250 0.250
Al1 0.000 0.000 0.302
Al2 0.000 0.250 0.500
Ag1 0.000 0.000 0.000
# * calculated density: 5.5 g/cm³
# * formation energy: -422.9 meV per atom
# * density of states at the Fermi level: 5.11 states/eV/cell


18.
# PBE-GGA DyAl4Ag4, relaxed
data_DyAl4Ag4
_space_group_name_H-M_alt 'P 42/n m c'
_space_group_IT_number 137
_cell_length_a 6.153
_cell_length_b 6.153
_cell_length_c 9.146
_cell_angle_alpha 90.00
_cell_angle_beta 90.00
_cell_angle_gamma 90.00
loop_
_space_group_symop_operation_xyz
'x,y,z'
'-x,-y,-z'
'-y+1/2,x,z+1/2'
'y+1/2,-x,-z+1/2'
'-x+1/2,-y+1/2,z'
'x+1/2,y+1/2,-z'
'y,-x+1/2,z+1/2'
'-y,x+1/2,-z+1/2'
'x+1/2,-y,-z'
'-x+1/2,y,z'
'-y,-x,-z+1/2'
'y,x,z+1/2'
'-x,y+1/2,-z'
'x,-y+1/2,z'
'y+1/2,x+1/2,-z+1/2'
'-y+1/2,-x+1/2,z+1/2'
loop_
_atom_site_label
_atom_site_fract_x
_atom_site_fract_y
_atom_site_fract_z
Dy1 0.250 0.750 0.250
Al1 0.029 0.250 0.045
Ag1 0.028 0.250 0.337
# * calculated density: 6.7 g/cm³
# * formation energy: -119.2 meV per atom
# * density of states at the Fermi level: 7.40 states/eV/cell


19.
# PBE-GGA DyAl3Ag2, relaxed
data_DyAl3Ag2
_space_group_name_H-M_alt 'C 1 2/m 1'
_space_group_IT_number 12
_space_group_name_Hall '-C 2y'
_cell_length_a 14.425
_cell_length_b 7.677
_cell_length_c 4.504
_cell_angle_alpha 90.00
_cell_angle_beta 108.04
_cell_angle_gamma 90.00
loop_
_atom_site_label
_atom_site_fract_x
_atom_site_fract_y
_atom_site_fract_z
Dy1 0.130 0.000 0.130
Al1 0.000 0.336 0.000
Al2 0.175 0.298 0.675
Ag1 0.000 0.178 0.500
Ag2 0.193 0.500 0.193
# * E above lowest polymorph: 0 meV/atom
# * calculated density: 6.4 g/cm³
# * formation energy: -222.1 meV per atom
# * density of states at the Fermi level: 12.48 states/eV/cell


20.
# PBE-GGA Dy6Al3Ag, relaxed
data_Dy6Al3Ag
_space_group_name_H-M_alt 'P 1 21/m 1'
_space_group_IT_number 11
_space_group_name_Hall '-P 2yb'
_cell_length_a 9.071
_cell_length_b 5.145
_cell_length_c 11.384
_cell_angle_alpha 90.00
_cell_angle_beta 109.08
_cell_angle_gamma 90.00
loop_
_atom_site_label
_atom_site_fract_x
_atom_site_fract_y
_atom_site_fract_z
Dy1 0.040 0.250 0.416
Dy2 0.159 0.750 0.171
Dy3 0.245 0.250 0.999
Dy4 0.335 0.750 0.802
Dy5 0.366 0.250 0.344
Dy6 0.397 0.250 0.628
Al1 0.029 0.750 0.874
Al2 0.112 0.250 0.715
Al3 0.271 0.750 0.471
Ag1 0.456 0.750 0.094
# * calculated density: 7.7 g/cm³
# * formation energy: -271.4 meV per atom
# * density of states at the Fermi level: 17.91 states/eV/cell


21.
# PBE-GGA Dy2Al9Ag, relaxed
data_Dy2Al9Ag
_space_group_name_H-M_alt 'P 4/m m m'
_space_group_IT_number 123
_space_group_name_Hall '-P 4 2'
_cell_length_a 4.232
_cell_length_b 4.232
_cell_length_c 12.455
_cell_angle_alpha 90.00
_cell_angle_beta 90.00
_cell_angle_gamma 90.00
loop_
_atom_site_label
_atom_site_fract_x
_atom_site_fract_y
_atom_site_fract_z
Dy1 0.000 0.000 0.173
Al1 0.000 0.500 0.000
Al2 0.000 0.500 0.348
Al3 0.500 0.500 0.168
Al4 0.500 0.500 0.500
Ag1 0.000 0.000 0.500
# * calculated density: 5.0 g/cm³
# * formation energy: -242.3 meV per atom
# * density of states at the Fermi level: 2.67 states/eV/cell